1.
{
  "formula": "Nb3PbS6",
  "functional": "PBE",
  "state": "relaxed",
  "cell": [[5.8373, 0.0004, 0.0000], [-2.9184, 5.0555, 0.0000], [0.0000, 0.0000, 14.9091]],
  "species": ["Nb", "Nb", "Nb", "Nb", "Nb", "Nb", "Pb", "Pb", "S", "S", "S", "S", "S", "S", "S", "S", "S", "S", "S", "S"],
  "fractional_positions": [[0.6666, 0.3332, 0.0000], [0.3332, 0.6666, 0.0000], [0.9999, 0.9999, 0.0000], [0.0001, 0.0001, 0.5000], [0.6668, 0.3334, 0.5000], [0.3334, 0.6668, 0.5000], [0.0000, 0.0000, 0.2500], [0.0000, 0.0000, 0.7500], [0.6634, 0.0000, 0.1047], [0.0000, 0.6634, 0.1047], [0.3367, 0.3367, 0.1047], [0.6633, 0.6633, 0.3953], [0.3366, 0.0000, 0.3953], [0.0000, 0.3366, 0.3953], [0.3366, 0.0000, 0.6047], [0.0000, 0.3366, 0.6047], [0.6633, 0.6633, 0.6047], [0.3367, 0.3367, 0.8953], [0.6634, 0.0000, 0.8953], [0.0000, 0.6634, 0.8953]],
  "final_energy_ev_per_cell": -138.70
}

***

2.
{
  "formula": "CoReAsIr",
  "functional": "PBE",
  "state": "relaxed",
  "cell": [[-1.4023, -0.1252, 4.0743], [-1.6790, 3.5331, 1.8112], [-4.2251, 0.1953, 0.8322]],
  "species": ["As", "Co", "Ir", "Re"],
  "fractional_positions": [[0.0000, 0.0000, 0.0000], [0.7500, 0.7500, 0.7500], [0.5000, 0.5000, 0.5000], [0.2500, 0.2500, 0.2500]],
  "de_polymorph_mev_per_atom": 0.0,
  "final_energy_ev_per_cell": -31.76
}